# TlGa6Au12, relaxed, DFT PBE-GGA
data_TlGa6Au12
_chemical_formula_sum 'Tl3 Ga18 Au36'
_cell_length_a 12.1199
_cell_length_b 12.1199
_cell_length_c 8.8335
_cell_angle_alpha 90.00
_cell_angle_beta 90.00
_cell_angle_gamma 120.00
_space_group_name_H-M_alt 'R -3 m'
_space_group_IT_number 166
_space_group_name_Hall '-R 3 2"'
loop_
_atom_site_label
_atom_site_type_symbol
_atom_site_fract_x
_atom_site_fract_y
_atom_site_fract_z
Tl1 Tl 0.0000 0.0000 0.0000
Ga1 Ga 0.0591 0.5295 0.2453
Au1 Au 0.0000 0.3821 0.5000
Au2 Au 0.0817 0.1634 0.2961
# formation energy from the elements	-178	kJ/mol of formula units
# crystal system	trigonal
# calculated volume	19.715	A^3/atom
# total moment	0.000	μB/cell